# 1
This record from Alexandria describes Nd2Al4Hg3Au after structural relaxation. The functional is PBE.

Geometry as CIF:
```
data_Nd2Al4Hg3Au
_cell_length_a 4.450
_cell_length_b 4.450
_cell_length_c 11.078
_cell_angle_alpha 90.00
_cell_angle_beta 90.00
_cell_angle_gamma 90.00
_space_group_name_H-M_alt 'P -4 m 2'
_space_group_IT_number 115
loop_
_space_group_symop_operation_xyz
'x,y,z'
'y,-x,-z'
'-x,-y,z'
'-y,x,-z'
'-x,y,z'
'-y,-x,-z'
'x,-y,z'
'y,x,-z'
loop_
_atom_site_label
_atom_site_type_symbol
_atom_site_fract_x
_atom_site_fract_y
_atom_site_fract_z
Nd1 Nd 0.000 0.500 0.243
Al1 Al 0.000 0.000 0.500
Al2 Al 0.000 0.500 0.872
Al3 Al 0.500 0.500 0.500
Hg1 Hg 0.000 0.000 0.000
Hg2 Hg 0.000 0.500 0.640
Au1 Au 0.500 0.500 0.000
```

Values from the calculation:
**Calculated formation energy**: -0.414 eV/atom
**Total magnetization**: 0.00 μB per cell

=====

# 2
This record from Alexandria describes Ho5Mg2Co2 after structural relaxation. The functional is PBE.

Geometry as CIF:
```
data_Ho5Mg2Co2
_cell_length_a 17.367
_cell_length_b 7.144
_cell_length_c 7.228
_cell_angle_alpha 90.00
_cell_angle_beta 90.00
_cell_angle_gamma 90.00
_space_group_name_H-M_alt 'C m c e'
_space_group_IT_number 64
_space_group_name_Hall '-C 2ac 2'
loop_
_atom_site_label
_atom_site_type_symbol
_atom_site_fract_x
_atom_site_fract_y
_atom_site_fract_z
Ho1 Ho 0.000 0.000 0.000
Ho2 Ho 0.112 0.186 0.315
Mg1 Mg 0.231 0.000 0.000
Co1 Co 0.000 0.111 0.612
```

Values from the calculation:
**Calculated formation energy**: -0.116 eV/atom
**Total magnetization**: 0.00 μB per cell

=====

# 3
This record from Alexandria describes Tb3Co7Ni2 after structural relaxation. The functional is PBE.

Geometry as CIF:
```
data_Tb3Co7Ni2
_cell_length_a 4.9461
_cell_length_b 4.9461
_cell_length_c 24.7533
_cell_angle_alpha 90.00
_cell_angle_beta 90.00
_cell_angle_gamma 120.00
_space_group_name_H-M_alt 'R -3 m'
_space_group_IT_number 166
_space_group_name_Hall '-R 3 2"'
loop_
_atom_site_label
_atom_site_type_symbol
_atom_site_fract_x
_atom_site_fract_y
_atom_site_fract_z
Tb1 Tb 0.0000 0.0000 0.0000
Tb2 Tb 0.0000 0.0000 0.1394
Co1 Co 0.0000 0.0000 0.5000
Co2 Co 0.0000 0.5000 0.0811
Ni1 Ni 0.0000 0.0000 0.3335
```

Values from the calculation:
**Calculated formation energy**: -0.208 eV/atom
**Total magnetization**: 25.02 μB per cell

=====

# 4
This record from Alexandria describes TaOs3 after structural relaxation. The functional is PBE.

Geometry as CIF:
```
data_TaOs3
_cell_length_a 5.5970
_cell_length_b 5.5970
_cell_length_c 4.4734
_cell_angle_alpha 90.00
_cell_angle_beta 90.00
_cell_angle_gamma 120.00
_space_group_name_H-M_alt 'P 63/m m c'
_space_group_IT_number 194
_space_group_name_Hall '-P 6c 2c'
loop_
_atom_site_label
_atom_site_type_symbol
_atom_site_fract_x
_atom_site_fract_y
_atom_site_fract_z
Ta1 Ta 0.3333 0.6667 0.2500
Os1 Os 0.1656 0.3312 0.7500
```

Values from the calculation:
**Calculated formation energy**: -0.118 eV/atom
**Total magnetization**: 0.00 μB per cell

=====

# 5
This record from Alexandria describes PuSn4Pd15 after structural relaxation. The functional is PBE.

Geometry as CIF:
```
data_PuSn4Pd15
_cell_length_a 4.064
_cell_length_b 4.064
_cell_length_c 20.308
_cell_angle_alpha 90.00
_cell_angle_beta 90.00
_cell_angle_gamma 90.00
_space_group_name_H-M_alt 'P 4/m m m'
_space_group_IT_number 123
_space_group_name_Hall '-P 4 2'
loop_
_atom_site_label
_atom_site_type_symbol
_atom_site_fract_x
_atom_site_fract_y
_atom_site_fract_z
Pu1 Pu 0.000 0.000 0.000
Sn1 Sn 0.000 0.000 0.204
Sn2 Sn 0.000 0.000 0.401
Pd1 Pd 0.000 0.500 0.104
Pd2 Pd 0.000 0.500 0.302
Pd3 Pd 0.000 0.500 0.500
Pd4 Pd 0.500 0.500 0.000
Pd5 Pd 0.500 0.500 0.204
Pd6 Pd 0.500 0.500 0.401
```

Values from the calculation:
**Calculated formation energy**: -0.511 eV/atom
**Total magnetization**: 4.57 μB per cell

=====

# 6
This record from Alexandria describes LiPrEr2Hg4 after structural relaxation. The functional is PBE.

Geometry as CIF:
```
data_LiPrEr2Hg4
_cell_length_a 5.1086
_cell_length_b 5.1086
_cell_length_c 26.5176
_cell_angle_alpha 90.00
_cell_angle_beta 90.00
_cell_angle_gamma 120.00
_space_group_name_H-M_alt 'R -3 m'
_space_group_IT_number 166
_space_group_name_Hall '-R 3 2"'
loop_
_atom_site_label
_atom_site_type_symbol
_atom_site_fract_x
_atom_site_fract_y
_atom_site_fract_z
Li1 Li 0.0000 0.0000 0.0000
Pr1 Pr 0.0000 0.0000 0.5000
Er1 Er 0.0000 0.0000 0.2576
Hg1 Hg 0.0000 0.0000 0.1144
Hg2 Hg 0.0000 0.0000 0.3723
```

Values from the calculation:
**Calculated formation energy**: -0.435 eV/atom
**Total magnetization**: 0.00 μB per cell